[1]
## In2HgRh (GGA-PBE)

Data for a relaxed structure of In2HgRh.

Unit cell a=6.917 b=6.917 c=6.917 alpha=90.00 beta=90.00 gamma=90.00
Space group F-43m (No. 216)
One atom of each set of equivalent atoms:
In1 0.000 0.000 0.000 [4 per cell]
In2 0.250 0.250 0.250 [4 per cell]
Hg1 0.250 0.250 0.750 [4 per cell]
Rh1 0.000 0.000 0.500 [4 per cell]

* calculated formation energy: 0.158 eV/atom

=====

[2]
## In2HgRh (GGA-PBE)

Data for a relaxed structure of In2HgRh.

Unit cell a=3.3224 b=3.3224 c=27.6184 alpha=90.00 beta=90.00 gamma=120.00
Space group R3m (No. 160, hexagonal axes)
One atom of each set of equivalent atoms:
In1 0.0000 0.0000 0.0000 [3 per cell]
In2 0.0000 0.0000 0.2364 [3 per cell]
Hg1 0.0000 0.0000 0.4769 [3 per cell]
Rh1 0.0000 0.0000 0.7348 [3 per cell]

* calculated formation energy: 0.039 eV/atom

=====

[3]
## InHg2Rh (GGA-PBE)

Data for a relaxed structure of InHg2Rh.

Unit cell a=3.495 b=3.850 c=6.866 alpha=90.00 beta=104.36 gamma=90.00
Space group Pm (No. 6)
One atom of each set of equivalent atoms:
In1 0.000 0.000 0.000 [1 per cell]
Hg1 0.336 0.500 0.672 [1 per cell]
Hg2 0.703 0.000 0.416 [1 per cell]
Rh1 0.547 0.500 0.097 [1 per cell]

* calculated formation energy: 0.000 eV/atom

=====

[4]
## InHg2Rh (GGA-PBE)

Data for a relaxed structure of InHg2Rh.

Unit cell a=3.191 b=5.224 c=4.934 alpha=90.00 beta=91.50 gamma=90.00
Space group P2/m (No. 10)
One atom of each set of equivalent atoms:
In1 0.000 0.000 0.000 [1 per cell]
Hg1 0.255 0.500 0.258 [2 per cell]
Rh1 0.500 0.000 0.500 [1 per cell]

* calculated formation energy: 0.120 eV/atom

=====

How do the records compare in E_tot? In the order shown, they have -3.1250, -3.2436, -2.6732, -2.5537 eV per atom.